Below is a geometry-optimized CoPd2NO structure, with properties calculated at the PBE with a Hubbard U level.

Cell: 4.267 4.267 3.653 Å, 90.00 90.00 90.00°
Fractional coordinates of all 5 atoms:
Co  0.000  0.000  0.000
Pd  0.000  0.500  0.500
Pd  0.500  0.000  0.500
N  0.500  0.500  0.000
O  0.000  0.000  0.500

Results
Spin magnetization in μB/f.u.: 2.5
VASP energy in eV for the cell shown: -23.79